# K3Dy3GaTe8, relaxed, DFT GGA-PBE
data_K3Dy3GaTe8
_chemical_formula_sum 'K6 Dy6 Ga2 Te16'
_symmetry_space_group_name_H-M 'C 1 2/m 1'
_symmetry_Int_Tables_number 12
_cell_length_a 15.081
_cell_length_b 8.705
_cell_length_c 9.923
_cell_angle_alpha 90.00
_cell_angle_beta 120.49
_cell_angle_gamma 90.00
loop_
_symmetry_equiv_pos_as_xyz
'x,y,z'
'-x,-y,-z'
'-x,y,-z'
'x,-y,z'
'x+1/2,y+1/2,z'
'-x+1/2,-y+1/2,-z'
'-x+1/2,y+1/2,-z'
'x+1/2,-y+1/2,z'
loop_
_atom_site_label
_atom_site_type_symbol
_atom_site_fract_x
_atom_site_fract_y
_atom_site_fract_z
_atom_site_occupancy
K1 K 0.000 0.000 0.000 1
K2 K 0.250 0.250 0.000 1
Dy1 Dy 0.000 0.500 0.500 1
Dy2 Dy 0.250 0.250 0.500 1
Ga1 Ga 0.000 0.000 0.500 1
Te1 Te 0.014 0.240 0.301 1
Te2 Te 0.224 0.000 0.698 1
Te3 Te 0.237 0.500 0.710 1
# Formation energy without anion corrections, eV/atom: -1.064
# VASP energy, eV per atom: -4.081
# D(E_F), states/eV/f.u.: 7.6
# Total magnetic moment, μB/f.u.: 0.000